[1]
A plane-wave DFT calculation with PBE was carried out for crystalline Pm5NdDy at its relaxed geometry.

Cell: 5.8859 8.0152 8.0152 Å, 66.23 68.46 68.46°
Fractional positions:
Pm 0.5000 0.1768 0.8232
Pm 0.2514 0.7486 0.7486
Pm 0.7486 0.2514 0.2514
Pm 0.5000 0.8232 0.1768
Pm 0.0000 0.5000 0.5000
Dy 0.0000 0.0000 0.0000
Nd 0.5000 0.5000 0.5000

Calculated total energy ... -26.24 eV/cell
Energy of formation from the pure elements ... 0.98 eV/atom

***

[2]
A plane-wave DFT calculation with PBE was carried out for crystalline NaAg2Sb at its relaxed geometry.

Cell: 4.8560 5.8733 8.1502 Å, 90.00 90.00 114.50°
Fractional positions:
Na 0.4484 0.8985 0.7500
Na 0.5516 0.1015 0.2500
Sb 0.1503 0.3012 0.7500
Sb 0.8497 0.6988 0.2500
Ag 0.7367 0.4735 0.9228
Ag 0.7367 0.4735 0.5772
Ag 0.2633 0.5265 0.4228
Ag 0.2633 0.5265 0.0772

Raw formation energy ... -116 meV/atom
Calculated total energy ... -23.22 eV/cell

***

[3]
A plane-wave DFT calculation with PBE was carried out for crystalline KCuI2O at its relaxed geometry.

Cell: 6.2649 6.2649 3.5765 Å, 90.00 90.00 90.00°
Fractional positions:
I 0.5000 0.0000 0.0000
I 0.0000 0.5000 0.0000
Cu 0.0000 0.0000 0.0000
K 0.5000 0.5000 0.5000
O 0.0000 0.0000 0.5000

Raw formation energy ... -531 meV/atom
Calculated total energy ... -15.91 eV/cell
Energy above the most stable polymorph in this dataset ... 0.000 eV per atom

***

[4]
A plane-wave DFT calculation with PBE was carried out for crystalline Cu2B2Pb at its relaxed geometry.

Cell: 6.2611 6.2611 3.5721 Å, 90.00 90.00 90.00°
Fractional positions:
Pb 0.0000 0.0000 0.0000
Pb 0.5000 0.5000 0.0000
B 0.4085 0.9085 0.0000
B 0.0915 0.4085 0.0000
B 0.9085 0.5915 0.0000
B 0.5915 0.0915 0.0000
Cu 0.3646 0.1354 0.5000
Cu 0.8646 0.3646 0.5000
Cu 0.6354 0.8646 0.5000
Cu 0.1354 0.6354 0.5000

Calculated total energy ... -41.91 eV/cell
Energy above the most stable polymorph in this dataset ... 0.252 eV per atom
Energy of formation from the pure elements ... 0.86 eV/atom